[1]
The following is a PBE-GGA calculation of a relaxed structure of BaLiZnBi3, from the Alexandria database.

## Properties
space-group type: No. 63
DOS(E_F): 0.52 states/eV/atom

a b c (Å): 6.840 6.839 9.490
angles (deg): 111.12 90.00 90.00
Atoms (fractional coordinates):
Ba (0.750, 0.312, 0.624)
Bi (0.500, 0.745, 0.000)
Bi (0.250, 0.246, 0.492)
Ba (0.250, 0.688, 0.376)
Bi (0.000, 0.255, 0.000)
Bi (0.000, 0.745, 0.000)
Li (0.750, 0.601, 0.201)
Li (0.250, 0.399, 0.799)
Zn (0.250, 0.097, 0.194)
Zn (0.750, 0.903, 0.806)
Bi (0.750, 0.754, 0.508)
Bi (0.500, 0.255, 0.000)

***

[2]
The following is a PBE-GGA calculation of a relaxed structure of BaLuBi2, from the Alexandria database.

## Properties
space-group type: No. 166
offset from the most stable computed form: 0 meV/atom
DOS(E_F): 0.82 states/eV/atom

a b c (Å): 4.739 4.739 8.232
angles (deg): 73.27 73.27 60.00
Atoms (fractional coordinates):
Lu (0.000, 0.000, 0.000)
Bi (0.734, 0.734, 0.798)
Ba (0.500, 0.500, 0.500)
Bi (0.266, 0.266, 0.202)

***

[3]
The following is a PBE-GGA calculation of a relaxed structure of BaLuBi2, from the Alexandria database.

## Properties
space-group type: No. 123
offset from the most stable computed form: 87 meV/atom
DOS(E_F): 0.63 states/eV/atom

a b c (Å): 3.911 3.911 8.779
angles (deg): 90.00 90.00 90.00
Atoms (fractional coordinates):
Bi (0.000, 0.000, 0.787)
Ba (0.500, 0.500, 0.500)
Bi (0.000, 0.000, 0.213)
Lu (0.500, 0.500, 0.000)

***

[4]
The following is a PBE-GGA calculation of a relaxed structure of Ba3Lu5Bi12, from the Alexandria database.

## Properties
space-group type: No. 230
DOS(E_F): 0.67 states/eV/atom

a b c (Å): 16.554 16.554 16.554
angles (deg): 109.47 109.47 109.47
Atoms (fractional coordinates):
Bi (0.073, 0.366, 0.052)
Bi (0.448, 0.427, 0.634)
Bi (0.052, 0.866, 0.073)
Bi (0.979, 0.427, 0.293)
Ba (0.875, 0.750, 0.125)
Bi (0.814, 0.866, 0.293)
Lu (0.125, 0.375, 0.250)
Bi (0.427, 0.448, 0.134)
Bi (0.866, 0.052, 0.573)
Ba (0.250, 0.125, 0.375)
Bi (0.634, 0.707, 0.686)
Lu (0.125, 0.750, 0.375)
Bi (0.521, 0.314, 0.948)
Lu (0.000, 0.000, 0.500)
Bi (0.052, 0.186, 0.479)
Bi (0.134, 0.186, 0.207)
Ba (0.875, 0.125, 0.250)
Bi (0.552, 0.573, 0.366)
Bi (0.793, 0.479, 0.427)
Bi (0.186, 0.134, 0.707)
Bi (0.793, 0.314, 0.866)
Bi (0.314, 0.521, 0.448)
Ba (0.125, 0.875, 0.750)
Bi (0.366, 0.293, 0.314)
Bi (0.479, 0.686, 0.052)
Bi (0.979, 0.552, 0.186)
Bi (0.573, 0.021, 0.207)
Bi (0.314, 0.793, 0.366)
Ba (0.750, 0.875, 0.625)
Bi (0.021, 0.573, 0.707)
Bi (0.366, 0.073, 0.552)
Lu (0.500, 0.000, 0.500)
Ba (0.125, 0.250, 0.875)
Bi (0.207, 0.686, 0.134)
Lu (0.750, 0.125, 0.875)
Lu (0.875, 0.250, 0.625)
Bi (0.927, 0.634, 0.948)
Bi (0.021, 0.448, 0.814)
Ba (0.625, 0.375, 0.750)
Bi (0.686, 0.479, 0.552)
Bi (0.634, 0.927, 0.448)
Lu (0.625, 0.750, 0.875)
Bi (0.448, 0.021, 0.314)
Lu (0.375, 0.250, 0.125)
Lu (0.000, 0.000, 0.000)
Ba (0.625, 0.250, 0.375)
Lu (0.250, 0.375, 0.625)
Lu (0.375, 0.125, 0.750)
Bi (0.521, 0.207, 0.073)
Bi (0.479, 0.793, 0.927)
Lu (0.500, 0.500, 0.500)
Bi (0.073, 0.707, 0.521)
Bi (0.707, 0.634, 0.186)
Bi (0.866, 0.814, 0.793)
Bi (0.927, 0.293, 0.479)
Ba (0.750, 0.375, 0.125)
Bi (0.707, 0.073, 0.021)
Bi (0.293, 0.927, 0.979)
Bi (0.948, 0.134, 0.927)
Bi (0.686, 0.207, 0.634)
Bi (0.186, 0.052, 0.979)
Lu (0.625, 0.875, 0.250)
Lu (0.000, 0.500, 0.000)
Bi (0.573, 0.552, 0.866)
Ba (0.375, 0.750, 0.625)
Ba (0.250, 0.625, 0.875)
Bi (0.293, 0.366, 0.814)
Lu (0.750, 0.625, 0.375)
Lu (0.250, 0.875, 0.125)
Bi (0.814, 0.948, 0.021)
Ba (0.375, 0.625, 0.250)
Bi (0.948, 0.814, 0.521)
Bi (0.207, 0.521, 0.573)
Lu (0.500, 0.000, 0.000)
Lu (0.000, 0.500, 0.500)
Bi (0.427, 0.979, 0.793)
Bi (0.552, 0.979, 0.686)
Bi (0.134, 0.948, 0.427)
Lu (0.875, 0.625, 0.750)
Lu (0.500, 0.500, 0.000)

***

no.,DFT total energy (eV per atom),ΔH_f (0 K) (eV/f.u.)
1,-3.112,-1.92
2,-4.264,-2.85
3,-4.177,-2.50
4,-3.962,-4.29